Entry from Alexandria via LeMat-Bulk: crystalline BeCrN2O at its relaxed geometry (PBE+U).

Output
Energy ... -5.6998 eV/atom
Calculated volume ... 10.0 A^3/atom
M_tot ... 0.00 Bohr magnetons per cell

The structure in extended XYZ format:
```
5
Lattice="3.6198 0.0000 0.0000 0.0000 3.6198 0.0000 0.0000 0.0000 3.8265" Properties=species:S:1:pos:R:3 pbc="T T T"
Be 0.0000 0.0000 0.0000
Cr 1.8099 1.8099 1.9132
N 0.0000 1.8099 1.9132
N 1.8099 0.0000 1.9132
O 1.8099 1.8099 0.0000
```